Entry 1:
LiSnPb3 | PBE-GGA | relaxed

abc: 5.330 5.890 9.059
angles: 90.00 90.00 90.00
Fractional coordinates of all 10 atoms:
Pb 0.250 0.737 0.250
Pb 0.750 0.762 0.947
Sn 0.250 0.561 0.750
Li 0.250 0.030 0.750
Pb 0.250 0.238 0.447
Pb 0.750 0.263 0.750
Sn 0.750 0.439 0.250
Li 0.750 0.970 0.250
Pb 0.750 0.762 0.553
Pb 0.250 0.238 0.053

Calculated values
**E above lowest polymorph**: 0.000 eV/atom
**E_form**: -20.7 meV per atom

---

Entry 2:
Li8Sn3Pb2 | PBE-GGA | relaxed

abc: 5.674 5.674 10.561
angles: 74.42 74.42 60.00
Fractional coordinates of all 13 atoms:
Sn 0.816 0.816 0.553
Li 0.275 0.779 0.671
Li 0.726 0.726 0.823
Li 0.725 0.221 0.329
Sn 0.000 0.000 0.000
Li 0.221 0.725 0.329
Li 0.779 0.275 0.671
Li 0.275 0.275 0.671
Li 0.274 0.274 0.177
Pb 0.636 0.636 0.093
Li 0.725 0.725 0.329
Sn 0.184 0.184 0.447
Pb 0.364 0.364 0.907

Calculated values
**E_form**: -196.9 meV per atom

---

Entry 3:
Li2SnPb4 | PBE-GGA | relaxed

abc: 5.850 5.850 7.546
angles: 112.81 112.81 90.00
Fractional coordinates of all 7 atoms:
Li 0.638 0.638 0.275
Pb 0.250 0.750 0.500
Sn 0.000 0.000 0.000
Pb 0.500 0.000 0.000
Li 0.362 0.362 0.725
Pb 0.750 0.250 0.500
Pb 0.000 0.500 0.000

Calculated values
**E_form**: 146.9 meV per atom

---

- Which formula does entry 2 have?
  Li8Sn3Pb2

---

Copy entry 2 word for word.
Li8Sn3Pb2 | PBE-GGA | relaxed

abc: 5.674 5.674 10.561
angles: 74.42 74.42 60.00
Fractional coordinates of all 13 atoms:
Sn 0.816 0.816 0.553
Li 0.275 0.779 0.671
Li 0.726 0.726 0.823
Li 0.725 0.221 0.329
Sn 0.000 0.000 0.000
Li 0.221 0.725 0.329
Li 0.779 0.275 0.671
Li 0.275 0.275 0.671
Li 0.274 0.274 0.177
Pb 0.636 0.636 0.093
Li 0.725 0.725 0.329
Sn 0.184 0.184 0.447
Pb 0.364 0.364 0.907

Calculated values
**E_form**: -196.9 meV per atom

---

Please write out number 3 again, unchanged.
Li2SnPb4 | PBE-GGA | relaxed

abc: 5.850 5.850 7.546
angles: 112.81 112.81 90.00
Fractional coordinates of all 7 atoms:
Li 0.638 0.638 0.275
Pb 0.250 0.750 0.500
Sn 0.000 0.000 0.000
Pb 0.500 0.000 0.000
Li 0.362 0.362 0.725
Pb 0.750 0.250 0.500
Pb 0.000 0.500 0.000

Calculated values
**E_form**: 146.9 meV per atom